<i>
PBE Ac3PmSe4, relaxed; theoretical density = 7.8 g/cm³
1.0
-2.7917 -0.5126 -5.5536
-0.9859 -6.0673 1.0556
-5.4893 1.3504 2.6347
Ac Pm Se
3 1 4
Direct
0.0000 0.5000 0.5000
0.5000 0.0000 0.5000
0.5000 0.5000 0.0000
0.0000 0.0000 0.0000
0.5000 0.0000 0.0000
0.0000 0.5000 0.0000
0.0000 0.0000 0.5000
0.5000 0.5000 0.5000

<ii>
PBE Ac3PmSe4, relaxed; theoretical density = 7.9 g/cm³
1.0
7.6378 0.0788 0.0000
-2.6031 7.2083 0.0000
0.0000 0.0000 8.7284
Ac Se Pm
6 8 2
Direct
0.7500 0.0000 0.3732
0.2500 0.0000 0.6268
0.7500 0.5000 0.6260
0.7500 0.5000 0.1244
0.2500 0.5000 0.3740
0.2500 0.5000 0.8756
0.9932 0.2430 0.6311
0.5001 0.2383 0.8814
0.4932 0.2430 0.3689
0.0001 0.2383 0.1186
0.9999 0.7617 0.8814
0.5068 0.7570 0.6311
0.4999 0.7617 0.1186
0.0068 0.7570 0.3689
0.7500 0.0000 0.8764
0.2500 0.0000 0.1236

Which one is the most stable? From the structures above, <ii>.